Density functional theory data (PBE-GGA) for crystalline Ti2NiRh2 at its relaxed geometry.

Unit cell a=7.1265 b=7.1265 c=2.9736 alpha=90.00 beta=90.00 gamma=90.00
Last column: nearest neighbours and their distance in Å.
Space group P4/mbm (No. 127)
Asymmetric unit:
Ti 0.1658 0.3342 0.0000 x4  6 Rh 2.48-2.63
Ni 0.0000 0.0000 0.5000 x2  4 Rh 2.76, 2 Ni 2.97, 8 Ti 3.05
Rh 0.1375 0.6375 0.5000 x4  6 Ti 2.48-2.63, 2 Ni 2.76, 1 Rh 2.77

Computed properties:
Energy   -7.711 eV per atom

Density functional theory data (PBE-GGA) for crystalline AcNd3HoTm at its relaxed geometry.

Unit cell a=20.8639 b=5.8471 c=7.1175 alpha=90.00 beta=91.13 gamma=90.00
Last column: nearest neighbours and their distance in Å.
Space group C2/m (No. 12)
Asymmetric unit:
Ac 0.1474 0.0000 0.0314 x4  1 Tm 3.25, 4 Nd 3.40-3.59
Nd 0.0164 0.0000 0.7387 x4  1 Tm 3.20, 2 Ho 3.34, 1 Ac 3.40, 1 Nd 3.45
Nd 0.1595 0.5000 0.7416 x4  2 Tm 3.45, 3 Nd 3.54-3.87, 2 Ac 3.59, 1 Ho 3.70
Nd 0.2195 0.5000 0.2792 x4  3 Tm 3.30-3.67, 1 Ho 3.34, 1 Nd 3.54, 1 Ac 3.58
Ho 0.0597 0.5000 0.3067 x4  4 Nd 3.34-3.70, 2 Tm 3.61
Tm 0.1420 0.0000 0.4873 x4  4 Nd 3.20-3.45, 1 Ac 3.25

Computed properties:
Energy   -4.356 eV per atom

Density functional theory data (PBE-GGA) for crystalline Sm4DyP5 at its relaxed geometry.

Unit cell a=9.1424 b=9.1424 c=5.7833 alpha=90.00 beta=90.00 gamma=90.00
Last column: nearest neighbours and their distance in Å.
Space group I4/m (No. 87)
Asymmetric unit:
Sm 0.0993 0.2998 0.0000 x8  6 P 2.89-2.91
Dy 0.0000 0.0000 0.5000 x2  6 P 2.86-2.89
P 0.0000 0.0000 0.0000 x2  4 Sm 2.89, 2 Dy 2.89
P 0.0990 0.2969 0.5000 x8  1 Dy 2.86, 5 Sm 2.89-2.91

Computed properties:
Energy   -6.631 eV per atom